(1)
Here is a geometry-optimized LiYGaGe structure from Alexandria. Energies are from PBE.

a = 6.852 Å, b = 6.852 Å, c = 6.852 Å
α = 90.00°, β = 90.00°, γ = 90.00°
Fractional coordinates of all 16 atoms:
Li (0.000, 0.000, 0.000)
Li (0.000, 0.500, 0.500)
Li (0.500, 0.000, 0.500)
Li (0.500, 0.500, 0.000)
Y (0.000, 0.000, 0.500)
Y (0.000, 0.500, 0.000)
Y (0.500, 0.000, 0.000)
Y (0.500, 0.500, 0.500)
Ga (0.250, 0.250, 0.250)
Ga (0.250, 0.750, 0.750)
Ga (0.750, 0.250, 0.750)
Ga (0.750, 0.750, 0.250)
Ge (0.250, 0.250, 0.750)
Ge (0.250, 0.750, 0.250)
Ge (0.750, 0.250, 0.250)
Ge (0.750, 0.750, 0.750)

The space group is F-43m, No. 216. For the formation energy, the calculation gives -0.434 eV/atom. As for the total energy: -17.76 eV/f.u. Its density of states at the Fermi level is 7.4 states/eV/cell.

(2)
Here is a geometry-optimized LiZnGaGe structure from Alexandria. Energies are from PBE.

a = 6.448 Å, b = 6.448 Å, c = 6.448 Å
α = 90.00°, β = 90.00°, γ = 90.00°
Fractional coordinates of all 16 atoms:
Li (0.000, 0.000, 0.000)
Li (0.000, 0.500, 0.500)
Li (0.500, 0.000, 0.500)
Li (0.500, 0.500, 0.000)
Zn (0.000, 0.000, 0.500)
Zn (0.000, 0.500, 0.000)
Zn (0.500, 0.000, 0.000)
Zn (0.500, 0.500, 0.500)
Ga (0.250, 0.250, 0.750)
Ga (0.250, 0.750, 0.250)
Ga (0.750, 0.250, 0.250)
Ga (0.750, 0.750, 0.750)
Ge (0.250, 0.250, 0.250)
Ge (0.250, 0.750, 0.750)
Ge (0.750, 0.250, 0.750)
Ge (0.750, 0.750, 0.250)

The space group is F-43m, No. 216. For the formation energy, the calculation gives -0.079 eV/atom. As for the total energy: -11.15 eV/f.u. Its density of states at the Fermi level is 5.8 states/eV/cell.

(3)
Here is a geometry-optimized LuGaGePd structure from Alexandria. Energies are from PBE.

a = 6.658 Å, b = 6.658 Å, c = 6.658 Å
α = 90.00°, β = 90.00°, γ = 90.00°
Fractional coordinates of all 16 atoms:
Lu (0.000, 0.000, 0.000)
Lu (0.000, 0.500, 0.500)
Lu (0.500, 0.000, 0.500)
Lu (0.500, 0.500, 0.000)
Ga (0.000, 0.000, 0.500)
Ga (0.000, 0.500, 0.000)
Ga (0.500, 0.000, 0.000)
Ga (0.500, 0.500, 0.500)
Ge (0.250, 0.250, 0.750)
Ge (0.250, 0.750, 0.250)
Ge (0.750, 0.250, 0.250)
Ge (0.750, 0.750, 0.750)
Pd (0.250, 0.250, 0.250)
Pd (0.250, 0.750, 0.750)
Pd (0.750, 0.250, 0.750)
Pd (0.750, 0.750, 0.250)

The space group is F-43m, No. 216. For the formation energy, the calculation gives -0.539 eV/atom. As for the total energy: -19.51 eV/f.u. Its density of states at the Fermi level is 4.3 states/eV/cell.

(4)
Here is a geometry-optimized PrLuGaGe structure from Alexandria. Energies are from PBE.

a = 7.242 Å, b = 7.242 Å, c = 7.242 Å
α = 90.00°, β = 90.00°, γ = 90.00°
Fractional coordinates of all 16 atoms:
Pr (0.000, 0.000, 0.000)
Pr (0.000, 0.500, 0.500)
Pr (0.500, 0.000, 0.500)
Pr (0.500, 0.500, 0.000)
Lu (0.000, 0.000, 0.500)
Lu (0.000, 0.500, 0.000)
Lu (0.500, 0.000, 0.000)
Lu (0.500, 0.500, 0.500)
Ga (0.250, 0.250, 0.250)
Ga (0.250, 0.750, 0.750)
Ga (0.750, 0.250, 0.750)
Ga (0.750, 0.750, 0.250)
Ge (0.250, 0.250, 0.750)
Ge (0.250, 0.750, 0.250)
Ge (0.750, 0.250, 0.250)
Ge (0.750, 0.750, 0.750)

The space group is F-43m, No. 216. For the formation energy, the calculation gives -0.531 eV/atom. As for the total energy: -19.07 eV/f.u. Its density of states at the Fermi level is 10.3 states/eV/cell.

(5)
Here is a geometry-optimized LuPuGaGe structure from Alexandria. Energies are from PBE.

a = 7.057 Å, b = 7.057 Å, c = 7.057 Å
α = 90.00°, β = 90.00°, γ = 90.00°
Fractional coordinates of all 16 atoms:
Lu (0.000, 0.000, 0.000)
Lu (0.000, 0.500, 0.500)
Lu (0.500, 0.000, 0.500)
Lu (0.500, 0.500, 0.000)
Pu (0.000, 0.000, 0.500)
Pu (0.000, 0.500, 0.000)
Pu (0.500, 0.000, 0.000)
Pu (0.500, 0.500, 0.500)
Ga (0.250, 0.250, 0.750)
Ga (0.250, 0.750, 0.250)
Ga (0.750, 0.250, 0.250)
Ga (0.750, 0.750, 0.750)
Ge (0.250, 0.250, 0.250)
Ge (0.250, 0.750, 0.750)
Ge (0.750, 0.250, 0.750)
Ge (0.750, 0.750, 0.250)

The space group is F-43m, No. 216. For the formation energy, the calculation gives -0.450 eV/atom. As for the total energy: -28.30 eV/f.u. Its density of states at the Fermi level is 33.9 states/eV/cell.

(6)
Here is a geometry-optimized SmLuGaGe structure from Alexandria. Energies are from PBE.

a = 7.163 Å, b = 7.163 Å, c = 7.163 Å
α = 90.00°, β = 90.00°, γ = 90.00°
Fractional coordinates of all 16 atoms:
Sm (0.000, 0.000, 0.000)
Sm (0.000, 0.500, 0.500)
Sm (0.500, 0.000, 0.500)
Sm (0.500, 0.500, 0.000)
Lu (0.000, 0.000, 0.500)
Lu (0.000, 0.500, 0.000)
Lu (0.500, 0.000, 0.000)
Lu (0.500, 0.500, 0.500)
Ga (0.250, 0.250, 0.750)
Ga (0.250, 0.750, 0.250)
Ga (0.750, 0.250, 0.250)
Ga (0.750, 0.750, 0.750)
Ge (0.250, 0.250, 0.250)
Ge (0.250, 0.750, 0.750)
Ge (0.750, 0.250, 0.750)
Ge (0.750, 0.750, 0.250)

The space group is F-43m, No. 216. For the formation energy, the calculation gives -0.548 eV/atom. As for the total energy: -19.08 eV/f.u. Its density of states at the Fermi level is 11.5 states/eV/cell.

(7)
Here is a geometry-optimized TbLuGaGe structure from Alexandria. Energies are from PBE.

a = 7.099 Å, b = 7.099 Å, c = 7.099 Å
α = 90.00°, β = 90.00°, γ = 90.00°
Fractional coordinates of all 16 atoms:
Tb (0.000, 0.000, 0.000)
Tb (0.000, 0.500, 0.500)
Tb (0.500, 0.000, 0.500)
Tb (0.500, 0.500, 0.000)
Lu (0.000, 0.000, 0.500)
Lu (0.000, 0.500, 0.000)
Lu (0.500, 0.000, 0.000)
Lu (0.500, 0.500, 0.500)
Ga (0.250, 0.250, 0.750)
Ga (0.250, 0.750, 0.250)
Ga (0.750, 0.250, 0.250)
Ga (0.750, 0.750, 0.750)
Ge (0.250, 0.250, 0.250)
Ge (0.250, 0.750, 0.750)
Ge (0.750, 0.250, 0.750)
Ge (0.750, 0.750, 0.250)

The space group is F-43m, No. 216. For the formation energy, the calculation gives -0.556 eV/atom. As for the total energy: -19.02 eV/f.u. Its density of states at the Fermi level is 13.4 states/eV/cell.

(8)
Here is a geometry-optimized TmLuGaGe structure from Alexandria. Energies are from PBE.

a = 7.043 Å, b = 7.043 Å, c = 7.043 Å
α = 90.00°, β = 90.00°, γ = 90.00°
Fractional coordinates of all 16 atoms:
Tm (0.000, 0.000, 0.000)
Tm (0.000, 0.500, 0.500)
Tm (0.500, 0.000, 0.500)
Tm (0.500, 0.500, 0.000)
Lu (0.000, 0.000, 0.500)
Lu (0.000, 0.500, 0.000)
Lu (0.500, 0.000, 0.000)
Lu (0.500, 0.500, 0.500)
Ga (0.250, 0.250, 0.750)
Ga (0.250, 0.750, 0.250)
Ga (0.750, 0.250, 0.250)
Ga (0.750, 0.750, 0.750)
Ge (0.250, 0.250, 0.250)
Ge (0.250, 0.750, 0.750)
Ge (0.750, 0.250, 0.750)
Ge (0.750, 0.750, 0.250)

The space group is F-43m, No. 216. For the formation energy, the calculation gives -0.547 eV/atom. As for the total energy: -18.82 eV/f.u. Its density of states at the Fermi level is 13.4 states/eV/cell.

What did the second record say?
Here is a geometry-optimized LiZnGaGe structure from Alexandria. Energies are from PBE.

a = 6.448 Å, b = 6.448 Å, c = 6.448 Å
α = 90.00°, β = 90.00°, γ = 90.00°
Fractional coordinates of all 16 atoms:
Li (0.000, 0.000, 0.000)
Li (0.000, 0.500, 0.500)
Li (0.500, 0.000, 0.500)
Li (0.500, 0.500, 0.000)
Zn (0.000, 0.000, 0.500)
Zn (0.000, 0.500, 0.000)
Zn (0.500, 0.000, 0.000)
Zn (0.500, 0.500, 0.500)
Ga (0.250, 0.250, 0.750)
Ga (0.250, 0.750, 0.250)
Ga (0.750, 0.250, 0.250)
Ga (0.750, 0.750, 0.750)
Ge (0.250, 0.250, 0.250)
Ge (0.250, 0.750, 0.750)
Ge (0.750, 0.250, 0.750)
Ge (0.750, 0.750, 0.250)

The space group is F-43m, No. 216. For the formation energy, the calculation gives -0.079 eV/atom. As for the total energy: -11.15 eV/f.u. Its density of states at the Fermi level is 5.8 states/eV/cell.